(1)
An optimized crystal structure of Cu3Ag2, computed with PBE.

## Properties
Energy of formation in eV per atom: 0.09

a b c (Å): 4.7193 5.5303 6.0210
angles (deg): 103.27 96.03 107.49
Fractional positions:
Ag1 0.9132 0.0499 0.2810
Ag2 0.4833 0.7414 0.4966
Ag3 0.5167 0.2586 0.5034
Ag4 0.0868 0.9501 0.7190
Cu1 0.3026 0.8333 0.0887
Cu2 0.3101 0.3623 0.0919
Cu3 0.9013 0.5456 0.2790
Cu4 0.0987 0.4544 0.7210
Cu5 0.6899 0.6377 0.9081
Cu6 0.6974 0.1667 0.9113


(2)
An optimized crystal structure of Cu7Ag2, computed with PBE.

## Properties
Energy of formation in eV per atom: 0.07

a b c (Å): 12.6310 12.6310 12.6310
angles (deg): 167.65 163.99 20.28
Fractional positions:
Ag1 0.3877 0.3877 0.0000
Ag2 0.6123 0.6123 0.0000
Cu1 0.0505 0.0505 0.0000
Cu2 0.1743 0.1743 0.0000
Cu3 0.2760 0.2760 0.0000
Cu4 0.5000 0.5000 0.0000
Cu5 0.7240 0.7240 0.0000
Cu6 0.8257 0.8257 0.0000
Cu7 0.9495 0.9495 0.0000


(3)
An optimized crystal structure of Cu5Ag3, computed with PBE.

## Properties
Energy of formation in eV per atom: 0.08

a b c (Å): 2.7785 5.5486 7.3364
angles (deg): 90.00 90.00 90.00
Fractional positions:
Ag1 0.0000 0.5000 0.0244
Ag2 0.5000 0.2473 0.7382
Ag3 0.5000 0.7527 0.7382
Cu1 0.0000 0.0000 0.0224
Cu2 0.5000 0.2353 0.2620
Cu3 0.5000 0.7647 0.2620
Cu4 0.0000 0.5000 0.4724
Cu5 0.0000 0.0000 0.4804


(4)
An optimized crystal structure of Cu3Ag7, computed with PBE.

## Properties
Energy of formation in eV per atom: 0.08

a b c (Å): 7.5885 7.5885 5.7579
angles (deg): 101.12 101.12 29.89
Fractional positions:
Ag1 0.2006 0.2006 0.0954
Ag2 0.4020 0.4020 0.1951
Ag3 0.5943 0.5943 0.2967
Ag4 0.8033 0.8033 0.4019
Ag5 0.2011 0.2011 0.6058
Ag6 0.4027 0.4027 0.7072
Ag7 0.5958 0.5958 0.7979
Cu1 0.9998 0.9998 0.5005
Cu2 0.8037 0.8037 0.9017
Cu3 0.9966 0.9966 0.9979


(5)
An optimized crystal structure of Cu3Ag2, computed with PBE.

## Properties
Energy of formation in eV per atom: 0.10

a b c (Å): 11.1181 11.1181 4.7111
angles (deg): 95.84 95.84 14.39
Fractional positions:
Ag1 0.1412 0.1412 0.0508
Ag2 0.7544 0.7544 0.2550
Ag3 0.2456 0.2456 0.7450
Ag4 0.8588 0.8588 0.9492
Cu1 0.4575 0.4575 0.1623
Cu2 0.0470 0.0470 0.3627
Cu3 0.3601 0.3601 0.4511
Cu4 0.6399 0.6399 0.5489
Cu5 0.9530 0.9530 0.6373
Cu6 0.5425 0.5425 0.8377


(6)
An optimized crystal structure of Cu3Ag7, computed with PBE.

## Properties
Energy of formation in eV per atom: 0.08

a b c (Å): 4.0546 10.2251 10.2251
angles (deg): 22.60 90.00 90.00
Fractional positions:
Ag1 0.0000 0.1988 0.1988
Ag2 0.0000 0.4016 0.4016
Ag3 0.5000 0.5032 0.5032
Ag4 0.0000 0.5970 0.5970
Ag5 0.5000 0.6986 0.6986
Ag6 0.0000 0.7998 0.7998
Ag7 0.5000 0.9010 0.9010
Cu1 0.0000 0.0033 0.0033
Cu2 0.5000 0.0965 0.0965
Cu3 0.5000 0.3002 0.3002


(7)
An optimized crystal structure of CuAg, computed with PBE.

## Properties
Energy of formation in eV per atom: 0.08

a b c (Å): 4.6173 2.8188 11.4777
angles (deg): 90.00 91.79 90.00
Fractional positions:
Ag1 0.1011 0.5000 0.1602
Ag2 0.6096 0.0000 0.2350
Ag3 0.1287 0.0000 0.3911
Ag4 0.2586 0.5000 0.6085
Ag5 0.5818 0.5000 0.9997
Cu1 0.6410 0.5000 0.4372
Cu2 0.7612 0.0000 0.6156
Cu3 0.9105 0.5000 0.7923
Cu4 0.4315 0.0000 0.8000
Cu5 0.0760 0.0000 0.9605


(8)
An optimized crystal structure of CuAg2, computed with PBE.

## Properties
Energy of formation in eV per atom: 0.09

a b c (Å): 4.8842 4.8842 4.9024
angles (deg): 99.86 99.86 119.65
Fractional positions:
Ag1 0.7429 0.2571 0.2500
Ag2 0.0823 0.9177 0.2500
Ag3 0.9177 0.0823 0.7500
Ag4 0.2571 0.7429 0.7500
Cu1 0.4208 0.5792 0.2500
Cu2 0.5792 0.4208 0.7500


(9)
An optimized crystal structure of CuAg, computed with PBE.

## Properties
Energy of formation in eV per atom: 0.07

a b c (Å): 2.9178 3.0722 40.1115
angles (deg): 90.00 90.00 90.00
Fractional positions:
Ag1 0.0000 0.0000 0.0238
Ag2 0.5000 0.5000 0.0714
Ag3 0.0000 0.0000 0.1191
Ag4 0.5000 0.5000 0.1671
Ag5 0.0000 0.0000 0.2153
Ag6 0.5000 0.5000 0.2639
Ag7 0.0000 0.0000 0.7361
Ag8 0.5000 0.5000 0.7847
Ag9 0.0000 0.0000 0.8329
Ag10 0.5000 0.5000 0.8809
Ag11 0.0000 0.0000 0.9286
Ag12 0.5000 0.5000 0.9762
Cu1 0.0000 0.5000 0.3177
Cu2 0.5000 0.0000 0.3498
Cu3 0.0000 0.5000 0.3830
Cu4 0.5000 0.0000 0.4165
Cu5 0.0000 0.5000 0.4498
Cu6 0.5000 0.0000 0.4833
Cu7 0.0000 0.5000 0.5167
Cu8 0.5000 0.0000 0.5502
Cu9 0.0000 0.5000 0.5835
Cu10 0.5000 0.0000 0.6170
Cu11 0.0000 0.5000 0.6502
Cu12 0.5000 0.0000 0.6823


(10)
An optimized crystal structure of Cu3Ag2, computed with PBE.

## Properties
Energy of formation in eV per atom: 0.11

a b c (Å): 4.7411 2.7782 11.0287
angles (deg): 90.00 97.49 90.00
Fractional positions:
Ag1 0.8963 0.0000 0.1852
Ag2 0.3034 0.0000 0.4043
Ag3 0.8013 0.5000 0.4075
Ag4 0.6002 0.5000 0.8043
Cu1 0.4776 0.0000 0.0001
Cu2 0.3957 0.5000 0.1873
Cu3 0.7118 0.0000 0.6091
Cu4 0.1949 0.5000 0.6123
Cu5 0.1006 0.0000 0.8006
Cu6 0.0181 0.5000 0.9894


(11)
An optimized crystal structure of Cu3Ag7, computed with PBE.

## Properties
Energy of formation in eV per atom: 0.08

a b c (Å): 9.8299 9.8299 5.8435
angles (deg): 98.53 98.53 16.97
Fractional positions:
Ag1 0.2010 0.2010 0.1004
Ag2 0.3982 0.3982 0.1835
Ag3 0.8020 0.8020 0.4117
Ag4 0.0034 0.0034 0.4819
Ag5 0.1953 0.1953 0.5976
Ag6 0.4057 0.4057 0.7136
Ag7 0.5943 0.5943 0.8138
Cu1 0.0036 0.0036 0.0190
Cu2 0.5982 0.5982 0.2852
Cu3 0.7983 0.7983 0.8935


(12)
An optimized crystal structure of Cu3Ag2, computed with PBE.

## Properties
Energy of formation in eV per atom: 0.10

a b c (Å): 2.7836 3.6969 13.8799
angles (deg): 90.00 90.00 90.00
Fractional positions:
Ag1 0.0000 0.0000 0.1025
Ag2 0.0000 0.0000 0.3077
Ag3 0.0000 0.0000 0.6923
Ag4 0.0000 0.0000 0.8975
Cu1 0.5000 0.5000 0.0000
Cu2 0.5000 0.5000 0.2049
Cu3 0.5000 0.5000 0.4109
Cu4 0.0000 0.0000 0.5000
Cu5 0.5000 0.5000 0.5891
Cu6 0.5000 0.5000 0.7951